1.
Entry from Alexandria: crystalline Na3Zn2Ge4 at its relaxed geometry (PBE-GGA).

Calculated values
Fermi-level density of states, states/eV/cell: 1.963
Total DFT energy (no corrections), eV per atom: -2.8518
Symmetry: C2/m

Unit cell a=4.2259 b=6.2098 c=9.9065 alpha=59.48 beta=77.68 gamma=70.11
With the nearest neighbours (Å) after each atom.
Element x y z (fractional)
Na 0.3351 0.6645 0.6653  4 Zn 3.27-3.39, 8 Ge 3.28-3.38
Na 0.0000 0.0000 0.0000  8 Ge 3.25-3.44, 4 Zn 3.31
Na 0.6649 0.3355 0.3347  4 Zn 3.27-3.39, 8 Ge 3.28-3.38
Zn 0.3940 0.9321 0.2799  3 Ge 2.43-2.47
Zn 0.6060 0.0679 0.7201  3 Ge 2.43-2.47
Ge 0.2863 0.3733 0.0541  1 Zn 2.47, 2 Ge 2.51
Ge 0.7137 0.6267 0.9459  1 Zn 2.47, 2 Ge 2.51
Ge 0.0547 0.2827 0.6079  1 Ge 2.40, 2 Zn 2.43
Ge 0.9453 0.7173 0.3921  1 Ge 2.40, 2 Zn 2.43

---

2.
Entry from Alexandria: crystalline Na2Zn2Ge at its relaxed geometry (PBE-GGA).

Calculated values
Fermi-level density of states, states/eV/cell: 1.203
Total DFT energy (no corrections), eV per atom: -2.0331
Symmetry: Immm

Unit cell a=5.3485 b=4.3156 c=5.8899 alpha=68.51 beta=63.00 gamma=90.00
With the nearest neighbours (Å) after each atom.
Element x y z (fractional)
Na 0.6992 0.1993 0.6015  6 Zn 3.15-3.20, 2 Ge 3.28
Na 0.3008 0.8007 0.3985  6 Zn 3.15-3.20, 2 Ge 3.28
Zn 0.2626 0.5000 0.0000  2 Zn 2.54-2.81, 2 Ge 2.57
Zn 0.7374 0.5000 0.0000  2 Zn 2.54-2.81, 2 Ge 2.57
Ge 0.0000 0.0000 0.0000  4 Zn 2.57

---

3.
Entry from Alexandria: crystalline NaZrGe2 at its relaxed geometry (PBE-GGA).

Calculated values
Fermi-level density of states, states/eV/cell: 4.462
Total DFT energy (no corrections), eV per atom: -5.1620
Symmetry: P2_1/m

Unit cell a=5.4699 b=3.7617 c=8.6679 alpha=90.00 beta=105.22 gamma=90.00
With the nearest neighbours (Å) after each atom.
Element x y z (fractional)
Na 0.2120 0.2500 0.9359  6 Ge 2.97-3.18
Na 0.7880 0.7500 0.0641  6 Ge 2.97-3.18
Zr 0.6999 0.2500 0.4351  7 Ge 2.76-3.06
Zr 0.3001 0.7500 0.5649  7 Ge 2.76-3.06
Ge 0.6204 0.2500 0.7675  2 Ge 2.57, 2 Zr 2.84
Ge 0.3796 0.7500 0.2325  2 Ge 2.57, 2 Zr 2.84
Ge 0.1218 0.2500 0.3174  2 Ge 2.57, 3 Zr 2.76-2.83
Ge 0.8782 0.7500 0.6826  2 Ge 2.57, 3 Zr 2.76-2.83

---

4.
Entry from Alexandria: crystalline NaZr3Ge at its relaxed geometry (PBE-GGA).

Calculated values
Fermi-level density of states, states/eV/cell: 7.568
Total DFT energy (no corrections), eV per atom: -4.9930
Symmetry: Pm-3m

Unit cell a=4.9251 b=4.9251 c=4.9251 alpha=90.00 beta=90.00 gamma=90.00
With the nearest neighbours (Å) after each atom.
Element x y z (fractional)
Na 0.0000 0.0000 0.0000  6 Zr 2.46
Ge 0.5000 0.5000 0.5000  12 Zr 3.48
Zr 0.0000 0.5000 0.0000  2 Na 2.46
Zr 0.0000 0.0000 0.5000  2 Na 2.46
Zr 0.5000 0.0000 0.0000  2 Na 2.46

---

5.
Entry from Alexandria: crystalline NaZrGe2 at its relaxed geometry (PBE-GGA).

Calculated values
Fermi-level density of states, states/eV/cell: 5.614
Total DFT energy (no corrections), eV per atom: -5.1463
Symmetry: Pmn2_1

Unit cell a=3.7718 b=8.4180 c=5.4063 alpha=90.00 beta=90.00 gamma=90.00
With the nearest neighbours (Å) after each atom.
Element x y z (fractional)
Na 0.0000 0.9393 0.6183  6 Ge 2.98-3.20
Na 0.5000 0.0607 0.1183  6 Ge 2.98-3.20
Zr 0.0000 0.4420 0.8808  6 Ge 2.74-3.05
Zr 0.5000 0.5580 0.3808  6 Ge 2.74-3.05
Ge 0.0000 0.3080 0.3433  2 Ge 2.55, 3 Zr 2.74-2.83
Ge 0.5000 0.6920 0.8433  2 Ge 2.55, 3 Zr 2.74-2.83
Ge 0.0000 0.7627 0.1416  2 Ge 2.55
Ge 0.5000 0.2373 0.6416  2 Ge 2.55

---

6.
Entry from Alexandria: crystalline NaZr3Ge at its relaxed geometry (PBE-GGA).

Calculated values
Fermi-level density of states, states/eV/cell: 7.420
Total DFT energy (no corrections), eV per atom: -5.8814
Symmetry: Pm-3m

Unit cell a=5.1525 b=5.1525 c=5.1525 alpha=90.00 beta=90.00 gamma=90.00
With the nearest neighbours (Å) after each atom.
Element x y z (fractional)
Na 0.5000 0.5000 0.5000  12 Zr 3.64
Ge 0.0000 0.0000 0.0000  6 Zr 2.58
Zr 0.0000 0.5000 0.0000  2 Ge 2.58
Zr 0.0000 0.0000 0.5000  2 Ge 2.58
Zr 0.5000 0.0000 0.0000  2 Ge 2.58

---

7.
Entry from Alexandria: crystalline NaZrGe2 at its relaxed geometry (PBE-GGA).

Calculated values
Fermi-level density of states, states/eV/cell: 10.537
Total DFT energy (no corrections), eV per atom: -5.1180
Symmetry: Cm

Unit cell a=5.3628 b=3.7818 c=17.3723 alpha=90.00 beta=95.52 gamma=90.00
With the nearest neighbours (Å) after each atom.
Element x y z (fractional)
Na 0.5411 0.0000 0.9364  6 Ge 3.08-3.33, 2 Na 3.39
Na 0.5411 0.5000 0.4364  6 Ge 3.08-3.33, 2 Na 3.39
Na 0.0701 0.0000 0.4947  5 Ge 2.91-3.20
Na 0.0701 0.5000 0.9947  5 Ge 2.91-3.20
Zr 0.8925 0.0000 0.1807  6 Ge 2.75-2.97
Zr 0.8925 0.5000 0.6807  6 Ge 2.75-2.97
Zr 0.4088 0.0000 0.7312  6 Ge 2.77-2.99
Zr 0.4088 0.5000 0.2312  6 Ge 2.77-2.99
Ge 0.8891 0.0000 0.8054  2 Ge 2.56, 1 Zr 2.77
Ge 0.8891 0.5000 0.3054  2 Ge 2.56, 1 Zr 2.77
Ge 0.6269 0.0000 0.5789  2 Ge 2.56
Ge 0.6269 0.5000 0.0789  2 Ge 2.56
Ge 0.2074 0.0000 0.3312  2 Ge 2.56, 2 Zr 2.85
Ge 0.2074 0.5000 0.8312  2 Ge 2.56, 2 Zr 2.85
Ge 0.3319 0.0000 0.1108  2 Ge 2.56, 3 Zr 2.75-2.82
Ge 0.3319 0.5000 0.6108  2 Ge 2.56, 3 Zr 2.75-2.82

---

8.
Entry from Alexandria: crystalline Na3ZrGe at its relaxed geometry (PBE-GGA).

Calculated values
Fermi-level density of states, states/eV/cell: 3.084
Total DFT energy (no corrections), eV per atom: -2.5553
Symmetry: Pm-3m

Unit cell a=5.4185 b=5.4185 c=5.4185 alpha=90.00 beta=90.00 gamma=90.00
With the nearest neighbours (Å) after each atom.
Element x y z (fractional)
Na 0.0000 0.5000 0.0000  2 Ge 2.71
Na 0.0000 0.0000 0.5000  2 Ge 2.71
Na 0.5000 0.0000 0.0000  2 Ge 2.71
Ge 0.0000 0.0000 0.0000  6 Na 2.71
Zr 0.5000 0.5000 0.5000  12 Na 3.83

---

9.
Entry from Alexandria: crystalline NaZrGe2 at its relaxed geometry (PBE-GGA).

Calculated values
Fermi-level density of states, states/eV/cell: 5.349
Total DFT energy (no corrections), eV per atom: -4.6576
Symmetry: I-42d

Unit cell a=7.4533 b=7.4533 c=6.1004 alpha=52.35 beta=52.35 gamma=90.00
With the nearest neighbours (Å) after each atom.
Element x y z (fractional)
Na 0.5000 0.5000 0.0000  4 Ge 2.75, 2 Zr 3.07
Na 0.2500 0.7500 0.5000  4 Ge 2.75, 2 Zr 3.07
Ge 0.6257 0.1250 0.2500  2 Zr 2.74, 2 Na 2.75
Ge 0.1243 0.6250 0.2500  2 Zr 2.74, 2 Na 2.75
Ge 0.3750 0.3743 0.7500  2 Zr 2.74, 2 Na 2.75
Ge 0.8750 0.8757 0.7500  2 Zr 2.74, 2 Na 2.75
Zr 0.0000 0.0000 0.0000  4 Ge 2.74
Zr 0.7500 0.2500 0.5000  4 Ge 2.74

---

10.
Entry from Alexandria: crystalline NaZrGe2 at its relaxed geometry (PBE-GGA).

Calculated values
Fermi-level density of states, states/eV/cell: 3.712
Total DFT energy (no corrections), eV per atom: -5.1229
Symmetry: Pmma

Unit cell a=6.3402 b=3.0888 c=8.3799 alpha=90.00 beta=90.00 gamma=90.00
With the nearest neighbours (Å) after each atom.
Element x y z (fractional)
Na 0.2500 0.5000 0.0260  4 Na 3.09-3.20, 8 Ge 3.21
Na 0.7500 0.5000 0.9740  4 Na 3.09-3.20, 8 Ge 3.21
Zr 0.2500 0.5000 0.4586  8 Ge 2.90-3.01, 4 Zr 3.09-3.24
Zr 0.7500 0.5000 0.5414  8 Ge 2.90-3.01, 4 Zr 3.09-3.24
Ge 0.4507 0.0000 0.7267  1 Ge 2.54
Ge 0.9507 0.0000 0.2733  1 Ge 2.54
Ge 0.5493 0.0000 0.2733  1 Ge 2.54
Ge 0.0493 0.0000 0.7267  1 Ge 2.54

---

11.
Entry from Alexandria: crystalline NaZrGe2 at its relaxed geometry (PBE-GGA).

Calculated values
Fermi-level density of states, states/eV/cell: 3.199
Total DFT energy (no corrections), eV per atom: -5.1059
Symmetry: P-1

Unit cell a=3.0204 b=5.1543 c=10.6844 alpha=102.93 beta=90.93 gamma=90.98
With the nearest neighbours (Å) after each atom.
Element x y z (fractional)
Na 0.0070 0.2738 0.0980  3 Na 3.02-3.12, 8 Ge 3.07-3.26
Na 0.9930 0.7262 0.9020  3 Na 3.02-3.12, 8 Ge 3.07-3.26
Zr 0.0764 0.7118 0.3986  7 Ge 2.81-3.11, 2 Zr 3.02
Zr 0.9236 0.2882 0.6014  7 Ge 2.81-3.11, 2 Zr 3.02
Ge 0.4924 0.7860 0.6411  1 Ge 2.53, 1 Zr 2.81
Ge 0.5075 0.2140 0.3589  1 Ge 2.53, 1 Zr 2.81
Ge 0.5190 0.8058 0.1762  1 Ge 2.53
Ge 0.4810 0.1942 0.8238  1 Ge 2.53

---

12.
Entry from Alexandria: crystalline NaZr2Ge2 at its relaxed geometry (PBE-GGA).

Calculated values
Fermi-level density of states, states/eV/cell: 5.052
Total DFT energy (no corrections), eV per atom: -5.8655
Symmetry: P4/mbm

Unit cell a=8.3286 b=8.3286 c=3.0488 alpha=90.00 beta=90.00 gamma=90.00
With the nearest neighbours (Å) after each atom.
Element x y z (fractional)
Na 0.0000 0.0000 0.0000  2 Na 3.05, 4 Zr 3.27
Na 0.5000 0.5000 0.0000  2 Na 3.05, 4 Zr 3.27
Ge 0.1663 0.6663 0.5000  6 Zr 2.85-2.91, 2 Ge 3.05
Ge 0.6663 0.8337 0.5000  6 Zr 2.85-2.91, 2 Ge 3.05
Ge 0.8337 0.3337 0.5000  6 Zr 2.85-2.91, 2 Ge 3.05
Ge 0.3337 0.1663 0.5000  6 Zr 2.85-2.91, 2 Ge 3.05
Zr 0.3710 0.8710 0.0000  6 Ge 2.85-2.91, 3 Zr 3.04-3.05
Zr 0.8710 0.6290 0.0000  6 Ge 2.85-2.91, 3 Zr 3.04-3.05
Zr 0.6290 0.1290 0.0000  6 Ge 2.85-2.91, 3 Zr 3.04-3.05
Zr 0.1290 0.3710 0.0000  6 Ge 2.85-2.91, 3 Zr 3.04-3.05

---

Number 1: distance to the lowest polymorph of the same formula 0 meV per atom, formation energy -0.077 eV/atom. Number 2: distance to the lowest polymorph of the same formula 0 meV per atom, formation energy -0.072 eV/atom. Number 3: distance to the lowest polymorph of the same formula 0 meV per atom, formation energy -0.387 eV/atom. Number 4: distance to the lowest polymorph of the same formula 888 meV per atom, formation energy 1.323 eV/atom. Number 5: distance to the lowest polymorph of the same formula 16 meV per atom, formation energy -0.371 eV/atom. Number 6: distance to the lowest polymorph of the same formula 0 meV per atom, formation energy 0.435 eV/atom. Number 7: distance to the lowest polymorph of the same formula 44 meV per atom, formation energy -0.343 eV/atom. Number 8: distance to the lowest polymorph of the same formula 0 meV per atom, formation energy 0.869 eV/atom. Number 9: distance to the lowest polymorph of the same formula 504 meV per atom, formation energy 0.118 eV/atom. Number 10: distance to the lowest polymorph of the same formula 39 meV per atom, formation energy -0.347 eV/atom. Number 11: distance to the lowest polymorph of the same formula 56 meV per atom, formation energy -0.330 eV/atom. Number 12: distance to the lowest polymorph of the same formula 49 meV per atom, formation energy -0.336 eV/atom.